## CoP4H16N2O16 (PBE with a Hubbard U)

Data for a geometry-optimized CoP4H16N2O16 structure.

Uncorrected energy (eV/atom): -5.91

Lattice parameters (Å, degrees): 7.175 7.425 7.813 98.87 108.71 91.00
Atoms (fractional coordinates):
O 0.069 0.238 0.351
O 0.748 0.050 0.153
O 0.771 0.977 0.839
O 0.425 0.254 0.442
Co 0.000 0.500 0.000
O 0.931 0.762 0.649
H 0.760 0.017 0.019
O 0.935 0.284 0.782
O 0.229 0.023 0.161
H 0.877 0.166 0.795
O 0.065 0.716 0.218
P 0.757 0.781 0.740
O 0.762 0.636 0.857
N 0.411 0.298 0.804
O 0.238 0.364 0.143
H 0.240 0.983 0.981
H 0.123 0.834 0.205
H 0.563 0.272 0.423
P 0.243 0.219 0.260
H 0.450 0.678 0.098
P 0.166 0.751 0.743
H 0.346 0.175 0.813
O 0.252 0.950 0.847
O 0.798 0.381 0.119
H 0.676 0.596 0.173
H 0.437 0.728 0.577
H 0.654 0.825 0.187
H 0.878 0.299 0.652
H 0.122 0.701 0.348
O 0.761 0.299 0.417
H 0.324 0.404 0.827
H 0.550 0.322 0.902
O 0.239 0.701 0.583
N 0.589 0.702 0.196
O 0.202 0.619 0.881
H 0.578 0.710 0.326
P 0.834 0.249 0.257
H 0.422 0.290 0.674
O 0.575 0.746 0.558